Here is a relaxed structure of Sc2ReRh2 from Alexandria. Energies are from PBEsol.

Results
N(E_F)	6.09	states/eV/f.u.
E_form	76	kJ/mol of formula units

a = 3.411 Å, b = 3.411 Å, c = 7.978 Å
α = 102.34°, β = 102.34°, γ = 90.00°
Positions (direct):
Re 0.000 0.000 0.000
Rh 0.250 0.750 0.500
Rh 0.750 0.250 0.500
Sc 0.600 0.600 0.200
Sc 0.400 0.400 0.800

---

Here is a relaxed structure of AlFe2H2 from Alexandria. Energies are from PBEsol.

Results
N(E_F)	1.39	states/eV/f.u.
electronic total energy	-29.381	eV per cell

a = 2.895 Å, b = 2.895 Å, c = 5.123 Å
α = 106.41°, β = 106.41°, γ = 90.00°
Each line ends with the local moment (μB).
Positions (direct):
H 0.250 0.750 0.500  -0.02
H 0.750 0.250 0.500  -0.02
Fe 0.342 0.342 0.685  1.65
Fe 0.658 0.658 0.315  1.65
Al 0.000 0.000 0.000  -0.04

---

Here is a relaxed structure of NaCr4O12 from Alexandria. Energies are from PBEsol.

Results
N(E_F)	4.37	states/eV/f.u.
raw formation energy	-1673.0	meV per atom

a = 8.533 Å, b = 8.533 Å, c = 15.764 Å
α = 105.70°, β = 105.70°, γ = 90.00°
Each line ends with the local moment (μB).
Positions (direct):
Na 0.000 0.500 0.000  0.00
Na 0.750 0.750 0.500  0.00
Na 0.500 0.000 0.000  0.00
Na 0.250 0.250 0.500  0.00
Cr 0.963 0.188 0.657  0.16
Cr 0.719 0.713 0.157  0.16
Cr 0.031 0.806 0.343  0.16
Cr 0.463 0.969 0.657  0.16
Cr 0.556 0.281 0.843  0.16
Cr 0.194 0.688 0.657  0.16
Cr 0.312 0.537 0.343  0.16
Cr 0.438 0.444 0.157  0.16
Cr 0.812 0.306 0.343  0.16
Cr 0.938 0.213 0.157  0.16
Cr 0.056 0.062 0.843  0.16
Cr 0.694 0.469 0.657  0.16
Cr 0.787 0.781 0.843  0.16
Cr 0.219 0.944 0.157  0.16
Cr 0.531 0.037 0.343  0.16
Cr 0.287 0.562 0.843  0.16
O 0.138 0.976 0.389  -0.01
O 0.344 0.046 0.585  0.00
O 0.077 0.125 0.750  0.00
O 0.844 0.039 0.585  0.00
O 0.638 0.913 0.389  -0.01
O 0.875 0.827 0.250  0.00
O 0.954 0.759 0.415  0.00
O 0.796 0.594 0.085  0.00
O 0.587 0.862 0.611  -0.01
O 0.163 0.501 0.889  -0.01
O 0.154 0.654 0.307  -0.01
O 0.404 0.404 0.807  -0.01
O 0.596 0.596 0.193  -0.01
O 0.346 0.846 0.693  -0.01
O 0.726 0.388 0.889  -0.01
O 0.024 0.749 0.611  -0.01
O 0.289 0.491 0.085  0.00
O 0.461 0.656 0.415  0.00
O 0.375 0.423 0.250  0.00
O 0.751 0.476 0.389  -0.01
O 0.999 0.337 0.111  -0.01
O 0.741 0.546 0.585  0.00
O 0.009 0.211 0.915  0.00
O 0.673 0.625 0.750  0.00
O 0.577 0.125 0.750  0.00
O 0.241 0.539 0.585  0.00
O 0.509 0.204 0.915  0.00
O 0.251 0.413 0.389  -0.01
O 0.499 0.274 0.111  -0.01
O 0.875 0.327 0.250  0.00
O 0.789 0.094 0.085  0.00
O 0.961 0.259 0.415  0.00
O 0.226 0.001 0.889  -0.01
O 0.524 0.362 0.611  -0.01
O 0.904 0.904 0.807  -0.01
O 0.096 0.096 0.193  -0.01
O 0.846 0.346 0.693  -0.01
O 0.654 0.154 0.307  -0.01
O 0.087 0.249 0.611  -0.01
O 0.663 0.888 0.889  -0.01
O 0.454 0.156 0.415  0.00
O 0.296 0.991 0.085  0.00
O 0.375 0.923 0.250  0.00
O 0.612 0.837 0.111  -0.01
O 0.406 0.711 0.915  0.00
O 0.173 0.625 0.750  0.00
O 0.906 0.704 0.915  0.00
O 0.112 0.774 0.111  -0.01

---

Here is a relaxed structure of Ir2RuPt from Alexandria. Energies are from PBEsol.

Results
N(E_F)	4.24	states/eV/f.u.
E_form	13	kJ/mol of formula units

a = 2.711 Å, b = 4.697 Å, c = 4.688 Å
α = 99.50°, β = 90.00°, γ = 106.77°
Positions (direct):
Ru 0.747 0.494 0.243
Ir 0.001 0.002 0.003
Ir 0.253 0.506 0.756
Pt 0.499 0.999 0.498

---

Here is a relaxed structure of Cd2InHg from Alexandria. Energies are from PBEsol.

Results
N(E_F)	1.39	states/eV/f.u.
E_form	18	kJ/mol of formula units

a = 3.174 Å, b = 3.174 Å, c = 10.143 Å
α = 90.00°, β = 90.00°, γ = 115.59°
Positions (direct):
In 0.500 0.500 0.000
Hg 0.500 0.500 0.500
Cd 0.000 0.000 0.258
Cd 0.000 0.000 0.742

---

Here is a relaxed structure of MgAgSe2N from Alexandria. Energies are from PBEsol.

Results
N(E_F)	2.90	states/eV/f.u.
raw formation energy	663.1	meV per atom

a = 3.900 Å, b = 5.122 Å, c = 5.122 Å
α = 90.00°, β = 90.00°, γ = 90.00°
Each line ends with the local moment (μB).
Positions (direct):
Mg 0.500 0.500 0.500  0.00
Se 0.000 0.000 0.500  0.09
Se 0.000 0.500 0.000  0.09
Ag 0.000 0.000 0.000  0.10
N 0.500 0.000 0.000  0.95

---

Here is a relaxed structure of Li4Mn5Fe3O16 from Alexandria. Energies are from PBEsol.

Results
N(E_F)	9.85	states/eV/f.u.
raw formation energy	-1687.1	meV per atom

a = 5.582 Å, b = 5.578 Å, c = 9.189 Å
α = 90.14°, β = 90.00°, γ = 120.03°
Each line ends with the local moment (μB).
Positions (direct):
Li 0.335 0.670 0.896  0.01
Li 0.997 0.995 0.998  0.01
Li 0.995 0.990 0.495  0.01
Li 0.669 0.337 0.396  0.00
Mn 0.336 0.671 0.486  2.61
Mn 0.172 0.343 0.214  2.53
Mn 0.670 0.340 0.988  2.57
Mn 0.342 0.173 0.714  2.50
Mn 0.831 0.173 0.714  2.50
Fe 0.177 0.830 0.213  1.16
Fe 0.652 0.830 0.213  1.16
Fe 0.827 0.653 0.714  1.00
O 0.166 0.832 0.600  0.05
O 0.481 0.963 0.343  0.01
O 0.332 0.664 0.101  0.06
O 0.998 0.997 0.306  0.04
O 0.999 0.999 0.809  0.04
O 0.665 0.832 0.600  0.05
O 0.040 0.520 0.341  0.00
O 0.480 0.520 0.341  0.00
O 0.833 0.666 0.102  0.06
O 0.166 0.332 0.597  0.04
O 0.519 0.481 0.842  0.01
O 0.963 0.481 0.842  0.01
O 0.665 0.329 0.603  0.05
O 0.335 0.168 0.098  0.04
O 0.520 0.040 0.840  0.01
O 0.833 0.168 0.098  0.04

---

Here is a relaxed structure of ZnRhBr2 from Alexandria. Energies are from PBEsol.

Results
N(E_F)	1.80	states/eV/f.u.
raw formation energy	-123.3	meV per atom

a = 3.521 Å, b = 3.521 Å, c = 8.121 Å
α = 77.48°, β = 77.48°, γ = 60.00°
Each line ends with the local moment (μB).
Positions (direct):
Br 0.977 0.977 0.069  0.00
Br 0.777 0.777 0.669  0.21
Rh 0.503 0.503 0.492  0.73
Zn 0.243 0.243 0.271  0.00

---

Here is a relaxed structure of MnBiAsO5 from Alexandria. Energies are from PBEsol.

Results
raw formation energy	-1306.8	meV per atom

a = 5.347 Å, b = 6.878 Å, c = 6.902 Å
α = 109.40°, β = 95.87°, γ = 109.67°
Each line ends with the local moment (μB).
Positions (direct):
Mn 0.674 0.780 0.635  4.41
Mn 0.326 0.220 0.365  4.41
Bi 0.919 0.481 0.244  0.05
Bi 0.081 0.519 0.756  0.05
As 0.353 0.118 0.821  0.04
As 0.647 0.882 0.179  0.04
O 0.731 0.452 0.498  0.05
O 0.269 0.548 0.502  0.05
O 0.566 0.705 0.915  0.04
O 0.434 0.295 0.085  0.04
O 0.227 0.223 0.657  0.03
O 0.773 0.777 0.343  0.03
O 0.356 0.909 0.241  0.04
O 0.644 0.091 0.759  0.04
O 0.090 0.869 0.782  0.03
O 0.910 0.131 0.218  0.03

---

Here is a relaxed structure of TaAlCd from Alexandria. Energies are from PBEsol.

Results
N(E_F)	1.91	states/eV/f.u.
E_form	50	kJ/mol of formula units

a = 2.888 Å, b = 4.560 Å, c = 4.560 Å
α = 120.00°, β = 90.00°, γ = 90.00°
Positions (direct):
Cd 0.000 0.667 0.333
Al 0.000 0.000 0.000
Ta 0.500 0.333 0.667

---

Here is a relaxed structure of TaMnPt4 from Alexandria. Energies are from PBEsol.

Results
N(E_F)	3.69	states/eV/f.u.
E_form	-67	kJ/mol of formula units

a = 5.143 Å, b = 5.143 Å, c = 5.143 Å
α = 60.00°, β = 60.00°, γ = 60.00°
Each line ends with the local moment (μB).
Positions (direct):
Mn 0.000 0.000 0.000  3.79
Pt 0.375 0.375 0.375  0.03
Pt 0.375 0.375 0.875  0.03
Pt 0.875 0.375 0.375  0.03
Pt 0.375 0.875 0.375  0.03
Ta 0.750 0.750 0.750  -0.24

---

Here is a relaxed structure of ZnCrMo4 from Alexandria. Energies are from PBEsol.

Results
N(E_F)	2.78	states/eV/f.u.
E_form	306	kJ/mol of formula units

a = 5.085 Å, b = 5.085 Å, c = 5.085 Å
α = 60.00°, β = 60.00°, γ = 60.00°
Positions (direct):
Cr 0.000 0.000 0.000
Mo 0.376 0.376 0.376
Mo 0.376 0.376 0.873
Mo 0.873 0.376 0.376
Mo 0.376 0.873 0.376
Zn 0.750 0.750 0.750